Computed, not measured: a relaxed structure of LaCuPb2 at the GGA-PBE level of DFT.

Geometry as CIF:
```
data_LaCuPb2
_symmetry_space_group_name_H-M 'P 4/m m m'
_symmetry_Int_Tables_number 123
_symmetry_space_group_name_Hall '-P 4 2'
_cell_length_a 4.773
_cell_length_b 4.773
_cell_length_c 4.705
_cell_angle_alpha 90.00
_cell_angle_beta 90.00
_cell_angle_gamma 90.00
loop_
_atom_site_label
_atom_site_fract_x
_atom_site_fract_y
_atom_site_fract_z
La1 0.000 0.000 0.000
Cu1 0.500 0.500 0.000
Pb1 0.000 0.500 0.500
```

Calculated values
E_form: -87 kJ/mol of formula units
density: 9.557 g/cm³
raw total energy: -4.336 eV per atom
M_tot: 0.00 μB per formula unit
V: 107 Å³/f.u.